Record 1
DFT (PBE) results for a relaxed structure of LaCdW2.

abc: 2.818 2.818 10.137
angles: 90.00 90.00 90.00
Element x y z (fractional)
W1 0.000 0.000 0.478
W2 0.000 0.000 0.022
La1 0.500 0.500 0.750
Cd1 0.500 0.500 0.250

Calculated values
Theoretical density in Mg/m³: 12.8
Total magnetization in μB/f.u.: 0.00
E in eV/atom: -7.1460
ΔE_f in eV/atom: 0.79
Crystal system: tetragonal



Record 2
DFT (PBE) results for a relaxed structure of LaCdW.

abc: 6.238 6.238 6.238
angles: 146.71 146.71 47.79
Each line ends with the local moment (μB).
Element x y z (fractional)
La1 0.679 0.679 0.000  0.01
Cd1 0.968 0.968 0.000  0.01
W1 0.353 0.353 0.000  0.37

Calculated values
Theoretical density in Mg/m³: 9.9
Energy above the lowest structure with this stoichiometry in meV per atom: 157.5
Total magnetization in μB/f.u.: 0.47
E in eV/atom: -5.5640
ΔE_f in eV/atom: 0.70
Crystal system: tetragonal